# 1
# PaGa2Ir2

Crystalline PaGa2Ir2 at its relaxed geometry (PBE, Alexandria via LeMat-Bulk).

Summary:
The density of states at the Fermi level is 8.4 states/eV/cell. The value obtained for the total moment is 0.000 μB/atom. The value obtained for the calculated formation energy is -0.62 eV per atom. The calculation puts the mass density at 13.55 g cm⁻³.

Cell lengths 3.924, 4.475, 10.660 Å; angles 81.23, 90.00, 90.00 degrees
Sites, in units of the cell vectors:
Pa1 0.250 0.645 0.227
Pa2 0.750 0.355 0.773
Ga1 0.250 0.812 0.863
Ga2 0.750 0.188 0.137
Ga3 0.250 0.279 0.523
Ga4 0.750 0.721 0.477
Ir1 0.250 0.746 0.635
Ir2 0.750 0.254 0.365
Ir3 0.250 0.258 0.984
Ir4 0.750 0.742 0.016

# 2
# PaGaIr

Crystalline PaGaIr at its relaxed geometry (PBE, Alexandria via LeMat-Bulk).

Summary:
The density of states at the Fermi level is 3.8 states/eV/cell. The value obtained for the total moment is 0.000 μB/atom. The value obtained for the calculated formation energy is -0.52 eV per atom. The calculation puts the mass density at 14.35 g cm⁻³.

Cell lengths 3.242, 3.242, 5.893 Å; angles 105.96, 105.96, 90.00 degrees
Sites, in units of the cell vectors:
Pa1 0.604 0.604 0.208
Ga1 0.306 0.306 0.613
Ir1 0.940 0.940 0.879